[1]
Here is a relaxed structure of TlRhSe2 from Alexandria. Energies are from PBE.

- formation energy from raw total energies (meV/atom) = -159
- total DFT energy (no corrections) (Ha/atom) = -0.1592
- calculated volume (Å³ per atom) = 27.66

Unit cell a=4.4396 b=4.6422 c=5.3675 alpha=90.00 beta=90.00 gamma=90.00
With the nearest neighbours (Å) after each atom.
Atoms (fractional coordinates):
Tl1 0.0000 0.0000 0.0000  4 Se 2.91-2.93
Rh1 0.5000 0.5000 0.5100  4 Se 2.43
Se1 0.0000 0.5000 0.3270  2 Rh 2.43
Se2 0.5000 0.0000 0.6450  2 Rh 2.43


[2]
Here is a relaxed structure of TlRhSe2 from Alexandria. Energies are from PBE.

- formation energy from raw total energies (meV/atom) = 465
- total DFT energy (no corrections) (Ha/atom) = -0.1362
- calculated volume (Å³ per atom) = 20.11

Unit cell a=4.8454 b=4.8454 c=4.8454 alpha=60.00 beta=60.00 gamma=60.00
With the nearest neighbours (Å) after each atom.
Atoms (fractional coordinates):
Tl1 0.0000 0.0000 0.0000  4 Se 2.97, 4 Rh 2.97
Rh1 0.7500 0.7500 0.7500  4 Tl 2.97, 4 Se 2.97
Se1 0.2500 0.2500 0.2500  4 Tl 2.97, 4 Se 2.97
Se2 0.5000 0.5000 0.5000  4 Se 2.97, 4 Rh 2.97


[3]
Here is a relaxed structure of TlRh4Se8 from Alexandria. Energies are from PBE.

- formation energy from raw total energies (meV/atom) = -346
- total DFT energy (no corrections) (Ha/atom) = -0.1813
- calculated volume (Å³ per atom) = 26.13

Unit cell a=8.4249 b=8.4249 c=8.4249 alpha=51.64 beta=51.64 gamma=51.64
With the nearest neighbours (Å) after each atom.
Atoms (fractional coordinates):
Tl1 0.0000 0.0000 0.0000  6 Se 3.12
Rh1 0.0000 0.0000 0.5000  6 Se 2.50-2.52
Rh2 0.0000 0.5000 0.0000  6 Se 2.50-2.52
Rh3 0.5000 0.0000 0.0000  6 Se 2.50-2.52
Rh4 0.5000 0.5000 0.5000  6 Se 2.52
Se1 0.2252 0.7289 0.7289  3 Rh 2.50-2.52
Se2 0.2289 0.2289 0.2289  3 Rh 2.52
Se3 0.2711 0.2711 0.7748  3 Rh 2.50-2.52
Se4 0.2711 0.7748 0.2711  3 Rh 2.50-2.52
Se5 0.7289 0.2252 0.7289  3 Rh 2.50-2.52
Se6 0.7289 0.7289 0.2252  3 Rh 2.50-2.52
Se7 0.7711 0.7711 0.7711  3 Rh 2.52
Se8 0.7748 0.2711 0.2711  3 Rh 2.50-2.52


[4]
Here is a relaxed structure of TlRhSe from Alexandria. Energies are from PBE.

- formation energy from raw total energies (meV/atom) = -105
- total DFT energy (no corrections) (Ha/atom) = -0.1656
- calculated volume (Å³ per atom) = 22.43

Unit cell a=3.5778 b=3.5778 c=6.0702 alpha=90.00 beta=90.00 gamma=120.00
With the nearest neighbours (Å) after each atom.
Atoms (fractional coordinates):
Tl1 0.0000 0.0000 0.0000  3 Rh 3.00, 3 Se 3.36
Rh1 0.6667 0.3333 0.3592  3 Se 2.41
Se1 0.3333 0.6667 0.5636  3 Rh 2.41


Which value of formation energy from raw total energies does entry 4 give?
-105 meV/atom